# 1
Entry from Alexandria: a relaxed Rb3Sn5H12 crystal (GGA-PBE).

The space group is Ia-3d (No. 230) and the conventional cell measures 14.2492, 14.2492 and 14.2492 Å, with angles of 90.00, 90.00 and 90.00 degrees. The inequivalent atoms are Rb at (0.0000, 0.2500, 0.1250), Sn at (0.0000, 0.0000, 0.0000), Sn at (0.0000, 0.2500, 0.3750) and H at (0.0401, 0.1295, 0.9594).

As for the energy: -2.92 eV per atom. Its total moment is 0.00 μB/cell.


# 2
Entry from Alexandria: a relaxed RbSnH2 crystal (GGA-PBE).

The space group is P1 (No. 1) and the conventional cell measures 4.6915, 6.2632 and 6.5010 Å, with angles of 75.01, 89.61 and 89.78 degrees. The inequivalent atoms are Rb at (0.0000, 0.0000, 0.0000), Rb at (0.0060, 0.4535, 0.4200), Sn at (0.5007, 0.5103, 0.8780), Sn at (0.5044, 0.9434, 0.5435), H at (0.1165, 0.5166, 0.9371), H at (0.1227, 0.9380, 0.4812), H at (0.5652, 0.6418, 0.0905) and H at (0.5779, 0.8101, 0.3332).

As for the energy: -3.02 eV per atom. Its total moment is 0.00 μB/cell.


# 3
Entry from Alexandria: a relaxed Rb2SnH4 crystal (GGA-PBE).

The space group is P2_1/m (No. 11) and the conventional cell measures 4.9804, 5.9631 and 10.7485 Å, with angles of 90.00, 102.04 and 90.00 degrees. The inequivalent atoms are Rb at (0.0839, 0.2500, 0.1672), Rb at (0.2308, 0.7500, 0.4510), Sn at (0.4305, 0.2500, 0.8786), H at (0.2077, 0.7500, 0.1315), H at (0.2138, 0.2500, 0.4249) and H at (0.3589, 0.0331, 0.7572).

As for the energy: -2.87 eV per atom. Its total moment is 0.00 μB/cell.


# 4
Entry from Alexandria: a relaxed Rb3Sn2H6 crystal (GGA-PBE).

The space group is Pnnm (No. 58) and the conventional cell measures 6.5334, 7.6579 and 11.0852 Å, with angles of 90.00, 90.00 and 90.00 degrees. The inequivalent atoms are Rb at (0.0000, 0.0000, 0.0000), Rb at (0.0000, 0.5000, 0.3053), Sn at (0.2435, 0.0232, 0.5000), H at (0.1554, 0.6574, 0.5000) and H at (0.2429, 0.6942, 0.1194).

As for the energy: -2.73 eV per atom. Its total moment is 0.39 μB/cell.